The following is a GGA-PBE calculation of an optimized crystal structure of CuNiSnW, from the Open Quantum Materials Database.

Calculated values
raw total energy = -97.17 eV for the cell shown
polymorph energy (0 for the lowest one) = 65 meV per atom
calculated volume = 15.545 A^3/atom

Unit cell a=6.289 b=6.289 c=6.289 alpha=90.00 beta=90.00 gamma=90.00
Space group F-43m (No. 216)
Symmetry-distinct sites (fractional):
Cu (0.000, 0.000, 0.000) x4
Ni (0.250, 0.250, 0.250) x4
Sn (0.250, 0.250, 0.750) x4
W (0.000, 0.000, 0.500) x4